Material: SmGdCuRu
Method: DFT, PBE
State: optimized geometry

The space group is F-43m (No. 216) and the conventional cell measures 6.9715, 6.9715 and 6.9715 Å, with angles of 90.00, 90.00 and 90.00 degrees. The inequivalent atoms are Sm at (0.0000, 0.0000, 0.0000), Gd at (0.0000, 0.0000, 0.5000), Cu at (0.2500, 0.2500, 0.2500) and Ru at (0.2500, 0.2500, 0.7500).

The magnetic moment is 1.77 μB/atom. The calculation puts the energy of formation from the pure elements at -251 meV/atom. Its calculated volume is 338.82 Å³ per cell. The total energy comes out at -8.2943 eV per atom.

---

Material: Sc2TlIr
Method: DFT, PBE
State: optimized geometry

The space group is R3m (No. 160, hexagonal axes) and the conventional cell measures 3.2491, 3.2491 and 28.3592 Å, with angles of 90.00, 90.00 and 120.00 degrees. The inequivalent atoms are Sc at (0.0000, 0.0000, 0.0000), Sc at (0.0000, 0.0000, 0.2357), Tl at (0.0000, 0.0000, 0.7550) and Ir at (0.0000, 0.0000, 0.5025).

The magnetic moment is 0.21 μB/atom. The calculation puts the energy of formation from the pure elements at -14 meV/atom. Its calculated volume is 259.26 Å³ per cell. The total energy comes out at -5.9865 eV per atom.

---

Material: Y3AgPb3
Method: DFT, PBE
State: optimized geometry

The space group is C2/m (No. 12) and the conventional cell measures 11.6822, 4.5913 and 15.1710 Å, with angles of 90.00, 107.75 and 90.00 degrees. The inequivalent atoms are Y at (0.0236, 0.0000, 0.3801), Y at (0.0961, 0.0000, 0.9224), Y at (0.2262, 0.0000, 0.2278), Ag at (0.2212, 0.5000, 0.3770), Pb at (0.0008, 0.5000, 0.7718), Pb at (0.1349, 0.5000, 0.0754) and Pb at (0.1423, 0.5000, 0.5476).

The magnetic moment is 0.00 μB/atom. The calculation puts the energy of formation from the pure elements at -434 meV/atom. Its calculated volume is 774.96 Å³ per cell. The total energy comes out at -5.2005 eV per atom.